Entry 1:
{
  "formula": "Sm4Y3Er2",
  "functional": "PBE",
  "state": "optimized geometry",
  "e_form_mev_per_atom": 47,
  "sg": "Cccm, No. 66",
  "relative_energy_mev_per_atom": 0,
  "volume_a3_per_cell": 586,
  "e_tot_ev_per_atom": -5.219,
  "cell": [[6.538, 2.214, 1.585], [3.290, 11.403, 2.142], [3.290, 5.702, 10.105]],
  "species": ["Sm", "Sm", "Sm", "Sm", "Sm", "Sm", "Sm", "Sm", "Y", "Y", "Y", "Y", "Y", "Y", "Er", "Er", "Er", "Er"],
  "frac_coords": [[0.471, 0.850, 0.180], [0.029, 0.820, 0.150], [0.529, 0.150, 0.820], [0.971, 0.180, 0.850], [0.846, 0.179, 0.475], [0.654, 0.525, 0.821], [0.154, 0.821, 0.525], [0.346, 0.475, 0.179], [0.910, 0.170, 0.170], [0.590, 0.830, 0.830], [0.090, 0.830, 0.830], [0.410, 0.170, 0.170], [0.250, 0.500, 0.500], [0.750, 0.500, 0.500], [0.320, 0.153, 0.526], [0.180, 0.474, 0.847], [0.680, 0.847, 0.474], [0.820, 0.526, 0.153]]
}

---

Entry 2:
{
  "formula": "FeMoAs2",
  "functional": "PBE",
  "state": "optimized geometry",
  "e_form_mev_per_atom": -181,
  "sg": "Pmc2_1, No. 26",
  "relative_energy_mev_per_atom": 0,
  "volume_a3_per_cell": 122,
  "e_tot_ev_per_atom": -7.330,
  "cell": [[3.346, 0.000, 0.000], [0.000, 5.823, 0.000], [0.000, 0.000, 6.254]],
  "species": ["Fe", "Fe", "Mo", "Mo", "As", "As", "As", "As"],
  "frac_coords": [[0.000, 0.509, 0.438], [0.000, 0.009, 0.562], [0.500, 0.495, 0.060], [0.500, 0.995, 0.940], [0.500, 0.307, 0.664], [0.500, 0.807, 0.336], [0.000, 0.689, 0.805], [0.000, 0.189, 0.195]]
}

---

Entry 3:
{
  "formula": "Nd4Se3O4",
  "functional": "PBE",
  "state": "optimized geometry",
  "sg": "Immm, No. 71",
  "relative_energy_mev_per_atom": 479,
  "e_form_raw_mev_per_atom": -2276.2,
  "volume_a3_per_cell": 206,
  "e_tot_ev_per_atom": -6.763,
  "cell": [[4.171, 0.000, 0.000], [0.000, 7.579, 0.000], [-2.086, -3.790, 6.527]],
  "species": ["Nd", "Nd", "Nd", "Nd", "Se", "Se", "Se", "O", "O", "O", "O"],
  "frac_coords": [[0.224, 0.724, 0.448], [0.776, 0.276, 0.552], [0.500, 0.754, 0.000], [0.500, 0.246, 0.000], [0.095, 0.095, 0.190], [0.905, 0.905, 0.810], [0.000, 0.500, 0.000], [0.325, 0.137, 0.649], [0.675, 0.488, 0.351], [0.675, 0.863, 0.351], [0.325, 0.512, 0.649]]
}

---

Entry 4:
{
  "formula": "AgAu2Cl",
  "functional": "PBE",
  "state": "optimized geometry",
  "sg": "Cmmm, No. 65",
  "relative_energy_mev_per_atom": 278,
  "e_form_raw_mev_per_atom": 240.9,
  "volume_a3_per_cell": 77,
  "e_tot_ev_per_atom": -2.572,
  "cell": [[5.498, 0.004, 0.000], [-2.726, 4.774, 0.000], [0.000, 0.000, 2.943]],
  "species": ["Au", "Au", "Ag", "Cl"],
  "frac_coords": [[0.000, 0.000, 0.000], [0.500, 0.500, 0.000], [0.000, 0.500, 0.500], [0.500, 0.000, 0.500]]
}

---

Entry 5:
{
  "formula": "Pm2AlGa3Au4",
  "functional": "PBE",
  "state": "optimized geometry",
  "e_form_mev_per_atom": -670,
  "sg": "P-4m2, No. 115",
  "volume_a3_per_cell": 205,
  "e_tot_ev_per_atom": -4.213,
  "cell": [[4.407, 0.000, 0.000], [0.000, 4.407, 0.000], [0.000, 0.000, 10.576]],
  "species": ["Pm", "Pm", "Al", "Ga", "Ga", "Ga", "Au", "Au", "Au", "Au"],
  "frac_coords": [[0.500, 0.000, 0.246], [0.000, 0.500, 0.754], [0.500, 0.500, 0.500], [0.000, 0.000, 0.500], [0.500, 0.000, 0.865], [0.000, 0.500, 0.135], [0.500, 0.500, 0.000], [0.000, 0.000, 0.000], [0.500, 0.000, 0.629], [0.000, 0.500, 0.371]]
}

---

Entry 6:
{
  "formula": "La2TbMg3",
  "functional": "PBE",
  "state": "optimized geometry",
  "e_form_mev_per_atom": -102,
  "sg": "P4/mmm, No. 123",
  "volume_a3_per_cell": 179,
  "e_tot_ev_per_atom": -3.314,
  "cell": [[3.900, 0.000, 0.000], [0.000, 3.900, 0.000], [0.000, 0.000, 11.785]],
  "species": ["La", "La", "Tb", "Mg", "Mg", "Mg"],
  "frac_coords": [[0.500, 0.500, 0.828], [0.500, 0.500, 0.172], [0.500, 0.500, 0.500], [0.000, 0.000, 0.000], [0.000, 0.000, 0.654], [0.000, 0.000, 0.346]]
}

---

Entry 7:
{
  "formula": "YSiC2Br",
  "functional": "PBE",
  "state": "optimized geometry",
  "sg": "P4/mmm, No. 123",
  "e_form_raw_mev_per_atom": 851.2,
  "volume_a3_per_cell": 85,
  "e_tot_ev_per_atom": -5.550,
  "cell": [[-3.279, 1.596, 1.193], [0.405, -2.889, 4.980], [1.974, 2.913, 1.530]],
  "species": ["Y", "Si", "C", "C", "Br"],
  "frac_coords": [[0.000, 0.500, 0.000], [0.000, 0.000, 0.000], [0.000, 0.000, 0.500], [0.500, 0.000, 0.000], [0.500, 0.500, 0.500]]
}

---

Entry 8:
{
  "formula": "Tb4Sm8Tm3",
  "functional": "PBE",
  "state": "optimized geometry",
  "e_form_mev_per_atom": 352,
  "sg": "C2/m, No. 12",
  "volume_a3_per_cell": 500,
  "e_tot_ev_per_atom": -4.294,
  "cell": [[6.845, -0.016, -0.024], [-3.178, 8.424, 1.498], [-3.178, -1.520, 8.420]],
  "species": ["Tb", "Tb", "Tb", "Tb", "Sm", "Sm", "Sm", "Sm", "Sm", "Sm", "Sm", "Sm", "Tm", "Tm", "Tm"],
  "frac_coords": [[0.500, 0.000, 0.000], [0.000, 0.500, 0.000], [0.000, 0.000, 0.000], [0.000, 0.000, 0.500], [0.293, 0.245, 0.245], [0.000, 0.703, 0.297], [0.830, 0.299, 0.299], [0.500, 0.752, 0.248], [0.500, 0.248, 0.752], [0.170, 0.701, 0.701], [0.000, 0.297, 0.703], [0.707, 0.755, 0.755], [0.500, 0.500, 0.000], [0.500, 0.000, 0.500], [0.500, 0.500, 0.500]]
}